Record 1
This record from the Alexandria database describes a geometry-optimized BaTl3Pb3 structure. The functional is PBE.

abc: 8.465 8.465 8.465
angles: 90.00 90.00 90.00
Fractional positions:
Pb  0.500  0.250  0.000
Pb  0.750  0.000  0.500
Pb  0.000  0.500  0.750
Pb  0.250  0.000  0.500
Pb  0.500  0.750  0.000
Pb  0.000  0.500  0.250
Ba  0.000  0.000  0.000
Ba  0.500  0.500  0.500
Tl  0.500  0.000  0.250
Tl  0.250  0.500  0.000
Tl  0.000  0.750  0.500
Tl  0.500  0.000  0.750
Tl  0.750  0.500  0.000
Tl  0.000  0.250  0.500

As for the symmetry: Pm-3n (223). For the total magnetic moment, the calculation gives 0.0 μB/f.u. The value obtained for the formation energy is 0.15 eV/atom.

***

Record 2
This record from the Alexandria database describes a geometry-optimized BaTl6Pb5 structure. The functional is PBE.

abc: 11.465 5.062 7.895
angles: 71.30 81.86 63.78
Fractional positions:
Tl  0.734  0.436  0.663
Tl  0.266  0.564  0.337
Tl  0.735  0.765  0.000
Tl  0.734  0.099  0.337
Tl  0.266  0.901  0.663
Tl  0.265  0.235  0.000
Pb  0.000  0.316  0.368
Pb  0.500  0.500  0.000
Pb  0.000  0.684  0.632
Pb  0.500  0.833  0.334
Pb  0.500  0.167  0.666
Ba  0.000  0.000  0.000

As for the symmetry: Cmmm (65). For the total magnetic moment, the calculation gives 0.0 μB/f.u. The value obtained for the formation energy is -0.10 eV/atom.